Record 1
A relaxed TbDyAl crystal. Source: Alexandria via LeMat-Bulk, functional PBE.

Structure (extended XYZ):
```
12
Lattice="5.111 0.000 0.000 0.000 6.558 0.000 0.000 0.000 9.497" Properties=species:S:1:pos:R:3 pbc="T T T"
Al 1.340 1.923 0.975
Al 3.895 1.356 5.723
Al 1.340 5.202 3.774
Al 3.895 4.635 8.522
Tb 3.895 1.232 8.798
Tb 1.339 2.047 4.049
Tb 3.895 4.511 5.448
Tb 1.339 5.326 0.700
Dy 1.340 6.382 6.731
Dy 3.895 3.455 1.982
Dy 1.340 3.103 7.515
Dy 3.895 0.176 2.766
```

- distance to the lowest polymorph of the same formula (eV per formula unit) = 0.00
- symmetry = Pnma, No. 62
- total moment (μB/atom) = 0.000
- formation energy from the elements (eV per formula unit) = -0.9
- total energy (eV per atom) = -4.6151

---

Record 2
A relaxed Tb2Dy3Al4 crystal. Source: Alexandria via LeMat-Bulk, functional PBE.

Structure (extended XYZ):
```
18
Lattice="6.788 0.000 0.000 0.000 8.866 0.000 -3.394 0.000 7.869" Properties=species:S:1:pos:R:3 pbc="T T T"
Tb 0.000 5.080 1.697
Tb 3.394 3.786 6.172
Tb 0.000 0.647 6.172
Tb 3.394 8.219 1.697
Dy 0.000 0.000 0.000
Dy 3.394 4.433 0.000
Dy 1.697 6.649 4.413
Dy 5.091 2.216 3.455
Dy 1.697 2.216 3.455
Dy -1.697 6.649 4.413
Al 1.697 6.649 7.382
Al 5.091 2.216 0.486
Al 1.697 2.216 0.486
Al -1.697 6.649 7.382
Al 0.000 8.590 2.939
Al 3.394 0.276 4.930
Al 0.000 4.157 4.930
Al 3.394 4.709 2.939
```

- symmetry = Cmce, No. 64
- total moment (μB/atom) = 0.000
- formation energy from the elements (eV per formula unit) = -1.3
- total energy (eV per atom) = -4.3682

---

Record 3
A relaxed Tb2DyAl6 crystal. Source: Alexandria via LeMat-Bulk, functional PBE.

Structure (extended XYZ):
```
9
Lattice="-1.132 -3.143 0.906 4.337 -1.401 7.169 -3.005 1.429 7.816" Properties=species:S:1:pos:R:3 pbc="T T T"
Tb -0.193 -1.092 2.584
Tb 0.392 -2.024 13.307
Dy 0.100 -1.558 7.945
Al 1.524 -0.978 5.124
Al -1.325 -2.138 10.766
Al 1.182 -3.104 10.545
Al -1.748 0.944 7.705
Al 3.079 -0.917 7.280
Al -0.983 -0.011 5.345
```

- distance to the lowest polymorph of the same formula (eV per formula unit) = 2.39
- symmetry = Immm, No. 71
- total moment (μB/atom) = 0.000
- formation energy from the elements (eV per formula unit) = -2.1
- total energy (eV per atom) = -4.2719

---

Record 4
A relaxed Tb2Dy2Al crystal. Source: Alexandria via LeMat-Bulk, functional PBE.

Structure (extended XYZ):
```
5
Lattice="0.980 -3.238 1.519 2.137 -3.769 -4.883 6.289 0.519 1.573" Properties=species:S:1:pos:R:3 pbc="T T T"
Tb 6.276 -2.267 0.170
Tb 3.129 -4.220 -1.960
Dy 6.570 -5.231 -1.810
Dy 2.835 -1.256 0.020
Al 0.000 0.000 0.000
```

- distance to the lowest polymorph of the same formula (eV per formula unit) = 0.00
- symmetry = C2/m, No. 12
- total moment (μB/atom) = 0.000
- formation energy from the elements (eV per formula unit) = -0.7
- total energy (eV per atom) = -4.5732